Entry 1:
# MgSn3O

Crystalline MgSn3O at its relaxed geometry (PBE, the Alexandria database).

extended XYZ file:
```
5
Lattice="4.8514 0.0000 0.0000 0.0000 4.8514 0.0000 0.0000 0.0000 4.8514" Properties=species:S:1:pos:R:3 pbc="T T T"
Mg 0.0000 0.0000 0.0000
Sn 0.0000 2.4257 2.4257
Sn 2.4257 0.0000 2.4257
Sn 2.4257 2.4257 0.0000
O 2.4257 2.4257 2.4257
```

Space-group type: Pm-3m
ΔE to the lowest computed polymorph, meV/atom: 0.0
Formation energy without anion corrections, eV per atom: -0.278
Calculated total energy, Ha/atom: -0.147



Entry 2:
# MnCdBr2

Crystalline MnCdBr2 at its relaxed geometry (PBE, the Alexandria database).

extended XYZ file:
```
12
Lattice="3.8060 0.0000 0.0000 -1.9030 3.2961 0.0000 0.0000 0.0000 26.9184" Properties=species:S:1:pos:R:3 pbc="T T T"
Mn 0.0000 0.0000 0.0000
Mn 0.0000 2.1974 17.9456
Mn 1.9030 1.0987 8.9728
Cd 0.0000 0.0000 6.9026
Cd 0.0000 2.1974 24.8482
Cd 1.9030 1.0987 15.8754
Br 0.0000 0.0000 14.1071
Br 0.0000 0.0000 19.4338
Br 0.0000 2.1974 5.1343
Br 0.0000 2.1974 10.4610
Br 1.9030 1.0987 1.4882
Br 1.9030 1.0987 23.0799
```

Space-group type: R3m
ΔE to the lowest computed polymorph, meV/atom: 91.3
Formation energy without anion corrections, eV per atom: -0.362
Calculated total energy, Ha/atom: -0.137



Entry 3:
# Na4Tb3MgTe8

Crystalline Na4Tb3MgTe8 at its relaxed geometry (PBE, the Alexandria database).

extended XYZ file:
```
16
Lattice="4.3731 2.5248 7.6449 -4.3731 2.5248 7.6449 0.0000 -5.0496 7.6449" Properties=species:S:1:pos:R:3 pbc="T T T"
Na 0.0000 0.0000 0.0000
Na -2.1866 -1.2624 7.6449
Na -2.1865 1.2624 15.2897
Na 0.0000 2.5248 7.6449
Tb -4.3731 0.0000 11.4673
Tb -2.1865 1.2624 3.8224
Tb 2.1866 1.2624 3.8224
Mg 0.0000 0.0000 11.4673
Te 0.0000 0.0000 5.6182
Te -2.1454 -1.2386 13.2194
Te 0.0000 -2.4773 9.7152
Te -2.1454 1.2386 9.7152
Te 2.1454 -1.2386 13.2194
Te 0.0000 2.4773 13.2194
Te 2.1454 1.2386 9.7152
Te 0.0000 0.0000 17.3164
```

Space-group type: R-3m
Formation energy without anion corrections, eV per atom: -1.152
Calculated total energy, Ha/atom: -0.148